VASP calculation (PBE-GGA) on a relaxed structure of CeSmGdAl. Values from VASP.

Properties
- Final energy: -28.5 eV for the cell shown
- Space group: F-43m (216)
- Energy of formation from the pure elements: -2 kJ/mol of formula units
- Calculated volume: 26.9 Å³ per atom

Quantum ESPRESSO input file:
```
&SYSTEM
  ibrav = 0, nat = 4, ntyp = 4
/
ATOMIC_SPECIES
Sm 150.36 Sm.upf
Al 26.98 Al.upf
Gd 157.25 Gd.upf
Ce 140.12 Ce.upf
ATOMIC_POSITIONS crystal
Sm 0.500 0.500 0.500
Al 0.250 0.250 0.250
Gd 0.000 0.000 0.000
Ce 0.750 0.750 0.750
CELL_PARAMETERS angstrom
-2.863 2.971 3.392
-5.073 1.219 -1.145
-3.975 -2.219 2.793
```

---

VASP calculation (PBE-GGA) on a relaxed structure of AcPaGaTc. Values from VASP.

Properties
- Final energy: -26.5 eV for the cell shown
- Space group: F-43m (216)
- Energy of formation from the pure elements: 44 kJ/mol of formula units
- Calculated volume: 24.1 Å³ per atom

Quantum ESPRESSO input file:
```
&SYSTEM
  ibrav = 0, nat = 4, ntyp = 4
/
ATOMIC_SPECIES
Ga 69.72 Ga.upf
Tc 98.00 Tc.upf
Ac 227.00 Ac.upf
Pa 231.04 Pa.upf
ATOMIC_POSITIONS crystal
Ga 0.000 0.000 0.000
Tc 0.500 0.500 0.500
Ac 0.250 0.250 0.250
Pa 0.750 0.750 0.750
CELL_PARAMETERS angstrom
-0.371 -3.348 3.888
-2.770 -4.299 -0.563
2.361 -4.561 -0.299
```

---

VASP calculation (PBE-GGA) on a relaxed structure of In2OsPt. Values from VASP.

Properties
- Final energy: -21.6 eV for the cell shown
- Space group: P4mm (99)
- Energy of formation from the pure elements: 115 kJ/mol of formula units
- Calculated volume: 18.3 Å³ per atom

Quantum ESPRESSO input file:
```
&SYSTEM
  ibrav = 0, nat = 4, ntyp = 3
/
ATOMIC_SPECIES
Os 190.23 Os.upf
In 114.82 In.upf
Pt 195.08 Pt.upf
ATOMIC_POSITIONS crystal
Os 0.000 0.000 0.474
In 0.000 0.000 0.969
In 0.500 0.500 0.284
Pt 0.500 0.500 0.773
CELL_PARAMETERS angstrom
3.558 0.000 0.000
0.000 3.558 0.000
0.000 0.000 5.795
```

---

VASP calculation (PBE-GGA) on a relaxed structure of Ac4PrAg5. Values from VASP.

Properties
- Final energy: -38.0 eV for the cell shown
- Space group: P4/mmm (123)
- Energy of formation from the pure elements: -247 kJ/mol of formula units
- Calculated volume: 30.3 Å³ per atom

Quantum ESPRESSO input file:
```
&SYSTEM
  ibrav = 0, nat = 10, ntyp = 3
/
ATOMIC_SPECIES
Ac 227.00 Ac.upf
Ag 107.87 Ag.upf
Pr 140.91 Pr.upf
ATOMIC_POSITIONS crystal
Ac 0.000 0.000 0.805
Ag 0.500 0.500 0.500
Pr 0.000 0.000 0.000
Ac 0.000 0.000 0.195
Ag 0.500 0.500 0.296
Ac 0.000 0.000 0.602
Ag 0.500 0.500 0.704
Ac 0.000 0.000 0.398
Ag 0.500 0.500 0.089
Ag 0.500 0.500 0.911
CELL_PARAMETERS angstrom
3.915 0.000 0.000
0.000 3.915 0.000
0.000 0.000 19.775
```